(1)
The following is a DFT calculation (GGA-PBE) of an optimized crystal structure of BaRe.

formation energy from the elements	1.53	eV/atom
E	-5.6552	eV/atom
magnetic moment	0.734	μB per atom
ρ	4.56	g/cm³
crystal system	cubic

POSCAR file:
```
BaRe
1.0
-3.0940 8.9053 -2.6900
-5.2978 -4.0170 -7.2049
-7.6468 -0.8202 6.0800
Re Ba
8 8
direct
0.9106 0.0894 0.0894 Re
0.5894 0.4106 0.5894 Re
0.5894 0.5894 0.4106 Re
0.0894 0.0894 0.9106 Re
0.0894 0.9106 0.0894 Re
0.4106 0.4106 0.4106 Re
0.9106 0.9106 0.9106 Re
0.4106 0.5894 0.5894 Re
0.2864 0.2864 0.7136 Ba
0.2864 0.7136 0.2864 Ba
0.7864 0.2136 0.7864 Ba
0.7136 0.7136 0.7136 Ba
0.7136 0.2864 0.2864 Ba
0.2136 0.7864 0.7864 Ba
0.7864 0.7864 0.2136 Ba
0.2136 0.2136 0.2136 Ba
```

(2)
The following is a DFT calculation (GGA-PBE) of an optimized crystal structure of BaRe3.

formation energy from the elements	1.60	eV/atom
E	-8.2173	eV/atom
magnetic moment	0.000	μB per atom
ρ	15.51	g/cm³
crystal system	trigonal

POSCAR file:
```
BaRe3
1.0
-2.7511 0.7215 4.7973
2.2139 -5.0329 -0.9334
2.7344 4.4052 -2.0544
Re Ba
3 1
direct
0.5000 0.0000 0.5000 Re
0.0000 0.5000 0.5000 Re
0.5000 0.5000 0.0000 Re
0.0000 0.0000 0.0000 Ba
```

(3)
The following is a DFT calculation (GGA-PBE) of an optimized crystal structure of Ba5Re4.

formation energy from the elements	1.12	eV/atom
E	-5.4852	eV/atom
magnetic moment	0.068	μB per atom
ρ	7.38	g/cm³
crystal system	hexagonal

POSCAR file:
```
Ba5Re4
1.0
-1.8741 8.4437 5.5846
-6.9937 -3.3498 -6.7723
-2.9397 -3.9537 4.9914
Ba Re
10 8
direct
0.6667 0.3333 0.5000 Ba
0.3333 0.6667 0.5000 Ba
0.0000 0.3396 0.7500 Ba
0.6604 0.6604 0.7500 Ba
0.6667 0.3333 0.0000 Ba
0.3396 0.0000 0.7500 Ba
0.3333 0.6667 0.0000 Ba
0.0000 0.6604 0.2500 Ba
0.6604 0.0000 0.2500 Ba
0.3396 0.3396 0.2500 Ba
0.1754 0.1754 0.7500 Re
0.0000 0.0000 0.5000 Re
0.0000 0.8246 0.7500 Re
0.8246 0.8246 0.2500 Re
0.8246 0.0000 0.7500 Re
0.0000 0.1754 0.2500 Re
0.0000 0.0000 0.0000 Re
0.1754 0.0000 0.2500 Re
```

(4)
The following is a DFT calculation (GGA-PBE) of an optimized crystal structure of BaRe3.

formation energy from the elements	1.29	eV/atom
E	-8.5258	eV/atom
magnetic moment	0.000	μB per atom
ρ	14.43	g/cm³
crystal system	orthorhombic

POSCAR file:
```
BaRe3
1.0
6.0424 0.0006 0.0020
2.9886 5.2516 -0.0020
-3.6676 -4.0841 2.5258
Re Ba
3 1
direct
0.2118 0.2118 0.0000 Re
0.0000 0.5000 0.5000 Re
0.7882 0.7882 0.0000 Re
0.5000 0.0000 0.5000 Ba
```